1.
{
  "formula": "YZrSc2",
  "functional": "PBE-GGA",
  "state": "optimized geometry",
  "lattice_angstrom": [[1.659, 0.958, 10.836], [-1.659, 0.958, 10.836], [0.000, -1.915, 10.836]],
  "species": ["Y", "Zr", "Sc", "Sc"],
  "frac_coords": [[0.000, 0.000, 0.000], [0.500, 0.500, 0.500], [0.245, 0.245, 0.245], [0.755, 0.755, 0.755]]
}

2.
{
  "formula": "Y2ZrSc6",
  "functional": "PBE-GGA",
  "state": "optimized geometry",
  "lattice_angstrom": [[7.838, -4.526, 0.000], [7.838, 4.526, 0.000], [-0.004, 0.000, 3.256]],
  "species": ["Y", "Y", "Zr", "Sc", "Sc", "Sc", "Sc", "Sc", "Sc"],
  "frac_coords": [[0.167, 0.167, 0.000], [0.833, 0.833, 0.000], [0.500, 0.500, 0.000], [0.175, 0.500, 0.500], [0.175, 0.825, 0.500], [0.500, 0.175, 0.500], [0.500, 0.825, 0.500], [0.825, 0.175, 0.500], [0.825, 0.500, 0.500]]
}

3.
{
  "formula": "Y2ZrSc5",
  "functional": "PBE-GGA",
  "state": "optimized geometry",
  "lattice_angstrom": [[6.654, 0.000, 0.000], [0.000, 13.316, 0.000], [0.000, 0.000, 4.692]],
  "species": ["Y", "Y", "Y", "Y", "Zr", "Zr", "Sc", "Sc", "Sc", "Sc", "Sc", "Sc", "Sc", "Sc", "Sc", "Sc"],
  "frac_coords": [[0.247, 0.123, 0.000], [0.253, 0.623, 0.000], [0.747, 0.377, 0.000], [0.753, 0.877, 0.000], [0.000, 0.000, 0.500], [0.500, 0.500, 0.500], [0.000, 0.500, 0.500], [0.002, 0.246, 0.500], [0.242, 0.879, 0.000], [0.258, 0.379, 0.000], [0.498, 0.746, 0.500], [0.500, 0.000, 0.500], [0.502, 0.254, 0.500], [0.742, 0.621, 0.000], [0.758, 0.121, 0.000], [0.998, 0.754, 0.500]]
}

4.
{
  "formula": "Y6ZrSc",
  "functional": "PBE-GGA",
  "state": "optimized geometry",
  "lattice_angstrom": [[3.299, -5.725, 0.000], [3.299, 5.725, 0.000], [-0.004, 0.000, 6.396]],
  "species": ["Y", "Y", "Y", "Y", "Y", "Y", "Zr", "Sc"],
  "frac_coords": [[0.079, 0.079, 0.249], [0.080, 0.501, 0.751], [0.499, 0.920, 0.249], [0.501, 0.080, 0.751], [0.920, 0.499, 0.249], [0.921, 0.921, 0.751], [0.500, 0.500, 0.000], [0.500, 0.500, 0.500]]
}

5.
{
  "formula": "Y2ZrSc",
  "functional": "PBE-GGA",
  "state": "optimized geometry",
  "lattice_angstrom": [[3.983, 0.000, 0.000], [0.000, 3.983, 0.000], [0.000, 0.000, 6.952]],
  "species": ["Y", "Y", "Zr", "Sc"],
  "frac_coords": [[0.000, 0.000, 0.240], [0.000, 0.000, 0.760], [0.500, 0.500, 0.000], [0.500, 0.500, 0.500]]
}

6.
{
  "formula": "YZr2Sc",
  "functional": "PBE-GGA",
  "state": "optimized geometry",
  "lattice_angstrom": [[5.135, 0.000, 0.000], [0.000, 1.645, 6.078], [0.000, -1.645, 6.078]],
  "species": ["Y", "Zr", "Zr", "Sc"],
  "frac_coords": [[0.000, 0.000, 0.000], [0.000, 0.735, 0.735], [0.500, 0.629, 0.629], [0.500, 0.351, 0.351]]
}

7.
{
  "formula": "YZr2Sc",
  "functional": "PBE-GGA",
  "state": "optimized geometry",
  "lattice_angstrom": [[3.764, 0.000, 0.000], [0.000, 3.764, 0.000], [0.000, 0.000, 7.132]],
  "species": ["Y", "Zr", "Zr", "Sc"],
  "frac_coords": [[0.000, 0.000, 0.000], [0.500, 0.500, 0.286], [0.500, 0.500, 0.714], [0.000, 0.000, 0.500]]
}

8.
{
  "formula": "Y14ZrSc",
  "functional": "PBE-GGA",
  "state": "optimized geometry",
  "lattice_angstrom": [[7.067, 0.000, 0.000], [0.000, 7.067, 0.000], [0.000, 0.000, 9.922]],
  "species": ["Y", "Y", "Y", "Y", "Y", "Y", "Y", "Y", "Y", "Y", "Y", "Y", "Y", "Y", "Zr", "Sc"],
  "frac_coords": [[0.000, 0.000, 0.000], [0.000, 0.500, 0.000], [0.000, 0.500, 0.500], [0.247, 0.247, 0.259], [0.247, 0.247, 0.741], [0.247, 0.753, 0.259], [0.247, 0.753, 0.741], [0.500, 0.000, 0.000], [0.500, 0.000, 0.500], [0.500, 0.500, 0.000], [0.753, 0.247, 0.259], [0.753, 0.247, 0.741], [0.753, 0.753, 0.259], [0.753, 0.753, 0.741], [0.000, 0.000, 0.500], [0.500, 0.500, 0.500]]
}

Looking at M_tot for the records above, in order, we have 0.00 0.00 0.00 2.75 0.00 0.00 0.00 0.00 μB/f.u..
Looking at energy of formation for the records above, in order, we have 0.060 0.060 0.061 0.208 0.180 0.029 0.166 0.049 eV/atom.